1.
The following is a DFT calculation (PBE) of a relaxed structure of Sc2AgIr.

Results
- energy relative to the elements (eV per atom) = -0.4610
- calculated density (g/cm³) = 8.71
- raw total energy (eV per cell) = -26.22
- energy relative to the lowest polymorph listed for this composition (meV/atom) = 204.7
- magnetization (μB/f.u.) = 0.00

The structure in POSCAR format:
```
Sc2AgIr
1.0
-2.094 -1.574 -4.827
-4.577 -3.034 0.061
2.028 4.762 1.837
Ag Ir Sc
1 1 2
direct
0.489 0.489 0.000
0.238 0.738 0.500
0.751 0.251 0.500
0.022 0.022 0.000
```



2.
The following is a DFT calculation (PBE) of a relaxed structure of NpZnAu11.

Results
- energy relative to the elements (eV per atom) = -0.0701
- calculated density (g/cm³) = 16.33
- raw total energy (eV per cell) = -51.18
- magnetization (μB/f.u.) = 4.18

The structure in POSCAR format:
```
NpZnAu11
1.0
5.126 -0.036 2.136
2.467 6.683 1.028
-0.032 -0.018 7.298
Au Np Zn
11 1 1
direct
0.500 0.000 0.500
0.995 0.349 0.660
0.656 0.349 0.340
0.344 0.651 0.660
0.302 0.218 0.210
0.698 0.782 0.790
0.005 0.651 0.340
0.488 0.782 0.210
0.512 0.218 0.790
0.000 0.000 0.500
0.000 0.500 0.000
0.000 0.000 0.000
0.500 0.500 0.000
```



3.
The following is a DFT calculation (PBE) of a relaxed structure of HgBiPd4Pb2.

Results
- energy relative to the elements (eV per atom) = -0.0711
- calculated density (g/cm³) = 11.69
- raw total energy (eV per cell) = -65.88
- magnetization (μB/f.u.) = 0.00

The structure in POSCAR format:
```
HgBiPd4Pb2
1.0
8.011 -0.059 -0.749
-0.065 8.011 -0.749
-4.476 -4.479 6.375
Pd Bi Pb Hg
8 2 4 2
direct
0.251 0.767 0.009
0.749 0.233 0.991
0.267 0.751 0.509
0.249 0.251 0.495
0.733 0.249 0.491
0.751 0.749 0.505
0.249 0.251 0.005
0.751 0.749 0.995
0.000 0.500 0.000
0.000 0.500 0.500
0.000 0.000 0.500
0.500 0.500 0.000
0.500 0.000 0.500
0.500 0.000 0.000
0.500 0.500 0.500
0.000 0.000 0.000
```



4.
The following is a DFT calculation (PBE) of a relaxed structure of Ac4GeBi2N2.

Results
- calculated density (g/cm³) = 8.28
- raw total energy (eV per cell) = -53.44
- magnetization (μB/f.u.) = 0.00

The structure in POSCAR format:
```
Ac4GeBi2N2
1.0
4.100 0.000 0.000
0.000 7.918 -0.436
-2.050 -3.536 9.006
Ac Bi N Ge
4 2 2 1
direct
0.775 0.827 0.550
0.556 0.766 0.113
0.444 0.234 0.887
0.225 0.173 0.450
0.116 0.454 0.231
0.884 0.546 0.769
0.317 0.020 0.634
0.683 0.980 0.366
0.000 0.000 0.000
```



5.
The following is a DFT calculation (PBE) of a relaxed structure of TmHfZr.

Results
- energy relative to the elements (eV per atom) = 0.1708
- calculated density (g/cm³) = 9.85
- raw total energy (eV per cell) = -44.92
- energy relative to the lowest polymorph listed for this composition (meV/atom) = 67.6
- magnetization (μB/f.u.) = 0.00

The structure in POSCAR format:
```
TmHfZr
1.0
0.486 2.517 -1.965
-2.825 -1.474 -0.112
-5.709 10.066 11.481
Hf Tm Zr
2 2 2
direct
0.750 0.250 0.579
0.250 0.750 0.421
0.750 0.750 0.909
0.250 0.250 0.091
0.750 0.250 0.265
0.250 0.750 0.735
```



6.
The following is a DFT calculation (PBE) of a relaxed structure of Pm2Cd2In.

Results
- energy relative to the elements (eV per atom) = -0.3293
- calculated density (g/cm³) = 7.55
- raw total energy (eV per cell) = -31.43
- energy relative to the lowest polymorph listed for this composition (meV/atom) = 14.0
- magnetization (μB/f.u.) = 0.00

The structure in POSCAR format:
```
Pm2Cd2In
1.0
4.767 0.000 0.000
0.000 7.623 0.000
0.000 0.000 7.623
Cd Pm In
4 4 2
direct
0.000 0.369 0.869
0.000 0.631 0.131
0.000 0.869 0.631
0.000 0.131 0.369
0.500 0.829 0.329
0.500 0.671 0.829
0.500 0.171 0.671
0.500 0.329 0.171
0.000 0.500 0.500
0.000 0.000 0.000
```



7.
The following is a DFT calculation (PBE) of a relaxed structure of MgTl2CdI6.

Results
- calculated density (g/cm³) = 5.43
- raw total energy (eV per cell) = -23.39
- magnetization (μB/f.u.) = 0.00

The structure in POSCAR format:
```
MgTl2CdI6
1.0
8.259 0.002 0.001
4.131 7.151 -0.001
4.130 2.383 6.772
I Mg Cd Tl
6 1 1 2
direct
0.153 0.985 0.275
0.494 0.658 0.771
0.985 0.587 0.275
0.077 0.494 0.771
0.587 0.153 0.275
0.658 0.077 0.771
0.819 0.819 0.544
0.317 0.317 0.048
0.038 0.038 0.887
0.534 0.534 0.397
```



8.
The following is a DFT calculation (PBE) of a relaxed structure of ZnHg2Pd.

Results
- energy relative to the elements (eV per atom) = 0.2072
- calculated density (g/cm³) = 11.87
- raw total energy (eV per cell) = -6.24
- magnetization (μB/f.u.) = 0.00

The structure in POSCAR format:
```
ZnHg2Pd
1.0
-1.910 0.375 -2.297
-1.374 -2.385 -1.220
-8.815 0.403 5.420
Pd Hg Zn
1 2 1
direct
0.000 0.000 0.000
0.088 0.088 0.735
0.912 0.912 0.265
0.500 0.500 0.500
```



9.
The following is a DFT calculation (PBE) of a relaxed structure of La3DyN4.

Results
- calculated density (g/cm³) = 7.44
- raw total energy (eV per cell) = -127.50
- energy relative to the lowest polymorph listed for this composition (meV/atom) = 0.0
- magnetization (μB/f.u.) = 0.00

The structure in POSCAR format:
```
La3DyN4
1.0
-5.216 -3.230 -1.733
5.142 -3.661 -0.899
-0.663 -2.620 6.878
N Dy La
8 2 6
direct
0.511 0.755 0.646
0.995 0.761 0.871
0.011 0.755 0.354
0.505 0.239 0.871
0.495 0.761 0.129
0.005 0.239 0.129
0.989 0.245 0.646
0.489 0.245 0.354
0.250 0.000 0.128
0.750 0.000 0.872
0.250 0.500 0.369
0.250 0.000 0.632
0.750 0.000 0.368
0.750 0.500 0.122
0.750 0.500 0.631
0.250 0.500 0.878
```



10.
The following is a DFT calculation (PBE) of a relaxed structure of TcH2W.

Results
- calculated density (g/cm³) = 13.04
- raw total energy (eV per cell) = -57.25
- energy relative to the lowest polymorph listed for this composition (meV/atom) = 106.7
- magnetization (μB/f.u.) = 0.50

The structure in POSCAR format:
```
TcH2W
1.0
-3.573 -2.954 -1.665
-0.187 -2.244 4.381
-3.927 -0.639 2.274
H W Tc
4 2 2
direct
0.610 0.125 0.250
0.875 0.860 0.750
0.375 0.390 0.750
0.140 0.625 0.250
0.000 0.000 0.000
0.750 0.250 0.500
0.250 0.750 0.500
0.500 0.500 0.000
```



11.
The following is a DFT calculation (PBE) of a relaxed structure of Dy3Mg2Pd4.

Results
- energy relative to the elements (eV per atom) = -0.7485
- calculated density (g/cm³) = 8.28
- raw total energy (eV per cell) = -44.50
- magnetization (μB/f.u.) = 0.00

The structure in POSCAR format:
```
Dy3Mg2Pd4
1.0
4.303 0.000 0.000
-2.151 4.958 0.225
0.000 -0.968 8.998
Pd Dy Mg
4 3 2
direct
0.917 0.833 0.371
0.705 0.410 0.090
0.295 0.590 0.910
0.083 0.167 0.629
0.628 0.257 0.387
0.372 0.743 0.613
0.000 0.000 0.000
0.672 0.344 0.789
0.328 0.656 0.211
```



12.
The following is a DFT calculation (PBE) of a relaxed structure of Np2InBr6.

Results
- calculated density (g/cm³) = 5.02
- raw total energy (eV per cell) = -48.56
- magnetization (μB/f.u.) = 9.00

The structure in POSCAR format:
```
Np2InBr6
1.0
-5.370 -0.373 -4.826
1.075 -7.411 -0.623
-4.794 2.683 5.126
Br In Np
6 1 2
direct
0.733 0.000 0.364
0.733 0.364 0.000
0.267 0.364 0.364
0.267 0.636 0.000
0.733 0.636 0.636
0.267 0.000 0.636
0.000 0.000 0.000
0.500 0.333 0.667
0.500 0.667 0.333
```



13.
The following is a DFT calculation (PBE) of a relaxed structure of Y2ZrAg.

Results
- energy relative to the elements (eV per atom) = 0.2784
- calculated density (g/cm³) = 5.77
- raw total energy (eV per cell) = -46.43
- energy relative to the lowest polymorph listed for this composition (meV/atom) = 392.6
- magnetization (μB/f.u.) = 0.91

The structure in POSCAR format:
```
Y2ZrAg
1.0
-0.365 -4.512 -6.920
1.092 -6.893 4.436
-2.780 -5.978 -0.897
Ag Y Zr
2 4 2
direct
0.000 0.000 0.000
0.750 0.250 0.500
0.875 0.912 0.750
0.088 0.625 0.250
0.375 0.338 0.750
0.662 0.125 0.250
0.500 0.500 0.000
0.250 0.750 0.500
```



14.
The following is a DFT calculation (PBE) of a relaxed structure of TlAgSe2.

Results
- calculated density (g/cm³) = 6.58
- raw total energy (eV per cell) = -50.10
- magnetization (μB/f.u.) = 0.00

The structure in POSCAR format:
```
TlAgSe2
1.0
6.389 0.000 0.000
0.000 4.128 0.000
0.000 0.000 18.000
Ag Tl Se
4 4 8
direct
0.552 0.750 0.748
0.948 0.250 0.248
0.052 0.750 0.752
0.448 0.250 0.252
0.293 0.750 0.053
0.207 0.250 0.553
0.793 0.750 0.447
0.707 0.250 0.947
0.705 0.750 0.302
0.252 0.750 0.456
0.752 0.750 0.044
0.795 0.250 0.802
0.205 0.750 0.198
0.248 0.250 0.956
0.295 0.250 0.698
0.748 0.250 0.544
```



15.
The following is a DFT calculation (PBE) of a relaxed structure of Be3TlH.

Results
- calculated density (g/cm³) = 7.03
- raw total energy (eV per cell) = -13.23
- energy relative to the lowest polymorph listed for this composition (meV/atom) = 0.0
- magnetization (μB/f.u.) = 0.00

The structure in POSCAR format:
```
Be3TlH
1.0
3.802 0.000 0.000
0.000 3.802 0.000
0.000 0.000 3.802
Be Tl H
3 1 1
direct
0.000 0.000 0.500
0.500 0.000 0.000
0.000 0.500 0.000
0.500 0.500 0.500
0.000 0.000 0.000
```



16.
The following is a DFT calculation (PBE) of a relaxed structure of PtRhW.

Results
- energy relative to the elements (eV per atom) = 0.4984
- calculated density (g/cm³) = 14.87
- raw total energy (eV per cell) = -24.85
- energy relative to the lowest polymorph listed for this composition (meV/atom) = 812.9
- magnetization (μB/f.u.) = 0.00

The structure in POSCAR format:
```
PtRhW
1.0
1.636 -3.730 -1.171
-1.679 -2.120 -3.263
2.141 -0.325 -3.643
W Pt Rh
1 1 1
direct
0.000 0.000 0.000
0.500 0.500 0.500
0.250 0.250 0.250
```



17.
The following is a DFT calculation (PBE) of a relaxed structure of NaTc3Pb.

Results
- energy relative to the elements (eV per atom) = 2.2476
- calculated density (g/cm³) = 8.77
- raw total energy (eV per cell) = -24.89
- energy relative to the lowest polymorph listed for this composition (meV/atom) = 16.0
- magnetization (μB/f.u.) = 5.85

The structure in POSCAR format:
```
NaTc3Pb
1.0
4.629 0.000 0.000
0.000 4.629 0.000
0.000 0.000 4.629
Na Tc Pb
1 3 1
direct
0.000 0.000 0.000
0.000 0.000 0.500
0.000 0.500 0.000
0.500 0.000 0.000
0.500 0.500 0.500
```



18.
The following is a DFT calculation (PBE) of a relaxed structure of Ho2TlSn.

Results
- energy relative to the elements (eV per atom) = -0.4535
- calculated density (g/cm³) = 10.20
- raw total energy (eV per cell) = -17.34
- magnetization (μB/f.u.) = 0.00

The structure in POSCAR format:
```
Ho2TlSn
1.0
-3.284 -0.648 0.991
-0.219 -2.540 -2.385
2.907 -5.758 5.865
Ho Sn Tl
2 1 1
direct
0.000 0.000 0.249
0.000 0.000 0.751
0.500 0.500 0.000
0.500 0.500 0.500
```



19.
The following is a DFT calculation (PBE) of a relaxed structure of CsBaUCl6.

Results
- calculated density (g/cm³) = 3.11
- raw total energy (eV per cell) = -87.06
- magnetization (μB/f.u.) = 3.00

The structure in POSCAR format:
```
CsBaUCl6
1.0
7.860 0.000 0.000
-3.930 6.807 0.000
0.000 0.000 14.377
Ba Cl U Cs
2 12 2 2
direct
0.333 0.667 0.250
0.667 0.333 0.750
0.031 0.389 0.641
0.389 0.031 0.141
0.389 0.358 0.359
0.031 0.642 0.859
0.969 0.358 0.141
0.642 0.611 0.141
0.642 0.031 0.359
0.611 0.969 0.859
0.611 0.642 0.641
0.358 0.389 0.859
0.969 0.611 0.359
0.358 0.969 0.641
0.333 0.667 0.750
0.667 0.333 0.250
0.000 0.000 0.500
0.000 0.000 0.000
```



20.
The following is a DFT calculation (PBE) of a relaxed structure of Na2LaGeO4.

Results
- calculated density (g/cm³) = 4.63
- raw total energy (eV per cell) = -93.64
- magnetization (μB/f.u.) = 0.00

The structure in POSCAR format:
```
Na2LaGeO4
1.0
3.708 0.000 0.000
-1.854 5.682 0.000
0.000 0.000 10.942
O La Na Ge
8 2 4 2
direct
0.000 0.000 0.000
0.609 0.218 0.250
0.391 0.782 0.750
0.295 0.590 0.363
0.705 0.410 0.637
0.295 0.590 0.137
0.000 0.000 0.500
0.705 0.410 0.863
0.087 0.175 0.750
0.913 0.825 0.250
0.619 0.238 0.037
0.619 0.238 0.463
0.381 0.762 0.963
0.381 0.762 0.537
0.179 0.358 0.250
0.821 0.642 0.750
```



21.
The following is a DFT calculation (PBE) of a relaxed structure of TeOs2Se.

Results
- calculated density (g/cm³) = 13.71
- raw total energy (eV per cell) = -24.48
- energy relative to the lowest polymorph listed for this composition (meV/atom) = 782.3
- magnetization (μB/f.u.) = 0.00

The structure in POSCAR format:
```
TeOs2Se
1.0
-2.698 2.747 -2.757
-2.730 -3.097 3.461
-0.887 1.968 2.444
Te Os Se
1 2 1
direct
0.500 0.500 0.000
0.500 0.000 0.500
0.000 0.000 0.000
0.000 0.500 0.500
```



22.
The following is a DFT calculation (PBE) of a relaxed structure of Ca2AgSnCl8.

Results
- calculated density (g/cm³) = 2.89
- raw total energy (eV per cell) = -43.94
- magnetization (μB/f.u.) = 0.00

The structure in POSCAR format:
```
Ca2AgSnCl8
1.0
6.449 -0.066 -0.004
-0.032 6.244 -0.007
0.005 0.010 8.418
Cl Ca Sn Ag
8 2 1 1
direct
0.677 0.721 0.000
0.327 0.275 0.500
0.673 0.725 0.500
0.169 0.780 0.735
0.169 0.780 0.265
0.831 0.220 0.735
0.831 0.220 0.265
0.323 0.279 0.000
0.500 0.500 0.242
0.500 0.500 0.758
0.000 0.000 0.500
0.000 0.000 0.000
```



23.
The following is a DFT calculation (PBE) of a relaxed structure of LaCrHgW2.

Results
- energy relative to the elements (eV per atom) = 2.5277
- calculated density (g/cm³) = 11.18
- raw total energy (eV per cell) = -28.12
- magnetization (μB/f.u.) = 2.26

The structure in POSCAR format:
```
LaCrHgW2
1.0
4.903 0.000 0.000
0.000 4.690 0.000
0.000 0.000 4.903
W Hg Cr La
2 1 1 1
direct
0.500 0.000 0.000
0.000 0.000 0.500
0.500 0.500 0.500
0.000 0.500 0.000
0.000 0.000 0.000
```